First-principles (PBE-GGA) data for a geometry-optimized SmHo2Tl structure, as listed in the Alexandria database.

## Properties
Calculated formation energy ... -170 meV/atom
Spin magnetization ... 0.00 μB per formula unit
Excess energy over the best structure of this formula in the dataset ... 10 meV/atom
SG ... P4/mmm
Electronic total energy ... -16.9 eV per cell

Cell lengths 3.632, 3.632, 9.107 Å; angles 90.00, 90.00, 90.00 degrees
Element x y z (fractional)
Sm (0.000, 0.000, 0.000)
Ho (0.500, 0.500, 0.274)
Ho (0.500, 0.500, 0.726)
Tl (0.000, 0.000, 0.500)



First-principles (PBE-GGA) data for a geometry-optimized Sm5Ho4Tl structure, as listed in the Alexandria database.

## Properties
Calculated formation energy ... 25 meV/atom
Spin magnetization ... 0.00 μB per formula unit
Excess energy over the best structure of this formula in the dataset ... 0 meV/atom
SG ... P4/mmm
Electronic total energy ... -44.0 eV per cell

Cell lengths 4.152, 4.152, 18.383 Å; angles 90.00, 90.00, 90.00 degrees
Element x y z (fractional)
Sm (0.000, 0.000, 0.000)
Sm (0.000, 0.000, 0.203)
Sm (0.000, 0.000, 0.409)
Sm (0.000, 0.000, 0.591)
Sm (0.000, 0.000, 0.797)
Ho (0.500, 0.500, 0.102)
Ho (0.500, 0.500, 0.303)
Ho (0.500, 0.500, 0.697)
Ho (0.500, 0.500, 0.898)
Tl (0.500, 0.500, 0.500)



First-principles (PBE-GGA) data for a geometry-optimized Sm3Ho2Tl structure, as listed in the Alexandria database.

## Properties
Calculated formation energy ... -67 meV/atom
Spin magnetization ... 0.00 μB per formula unit
Excess energy over the best structure of this formula in the dataset ... 42 meV/atom
SG ... C2/c
Electronic total energy ... -52.2 eV per cell

Cell lengths 9.291, 9.291, 6.472 Å; angles 98.57, 98.57, 43.05 degrees
Element x y z (fractional)
Sm (0.052, 0.286, 0.041)
Sm (0.228, 0.772, 0.750)
Sm (0.286, 0.052, 0.541)
Sm (0.714, 0.948, 0.459)
Sm (0.772, 0.228, 0.250)
Sm (0.948, 0.714, 0.959)
Ho (0.230, 0.446, 0.427)
Ho (0.446, 0.230, 0.927)
Ho (0.554, 0.770, 0.073)
Ho (0.770, 0.554, 0.573)
Tl (0.282, 0.718, 0.250)
Tl (0.718, 0.282, 0.750)



First-principles (PBE-GGA) data for a geometry-optimized Sm2HoTl structure, as listed in the Alexandria database.

## Properties
Calculated formation energy ... -155 meV/atom
Spin magnetization ... 0.00 μB per formula unit
Excess energy over the best structure of this formula in the dataset ... 19 meV/atom
SG ... Immm
Electronic total energy ... -17.0 eV per cell

Cell lengths 6.775, 6.775, 6.775 Å; angles 146.70, 133.15, 58.69 degrees
Element x y z (fractional)
Sm (0.222, 0.222, 0.000)
Sm (0.778, 0.778, 0.000)
Ho (0.500, 0.000, 0.500)
Tl (0.000, 0.500, 0.500)



First-principles (PBE-GGA) data for a geometry-optimized Sm8Ho6Tl structure, as listed in the Alexandria database.

## Properties
Calculated formation energy ... 92 meV/atom
Spin magnetization ... 0.00 μB per formula unit
SG ... P-3
Electronic total energy ... -66.2 eV per cell

Cell lengths 9.386, 9.386, 6.429 Å; angles 90.00, 90.00, 120.00 degrees
Element x y z (fractional)
Sm (0.042, 0.271, 0.183)
Sm (0.229, 0.958, 0.183)
Sm (0.271, 0.229, 0.817)
Sm (0.333, 0.667, 0.172)
Sm (0.667, 0.333, 0.828)
Sm (0.729, 0.771, 0.183)
Sm (0.771, 0.042, 0.817)
Sm (0.958, 0.729, 0.817)
Ho (0.097, 0.452, 0.674)
Ho (0.355, 0.903, 0.674)
Ho (0.452, 0.355, 0.326)
Ho (0.548, 0.645, 0.674)
Ho (0.645, 0.097, 0.326)
Ho (0.903, 0.548, 0.326)
Tl (0.000, 0.000, 0.500)



First-principles (PBE-GGA) data for a geometry-optimized Sm3HoTl structure, as listed in the Alexandria database.

## Properties
Calculated formation energy ... -65 meV/atom
Spin magnetization ... 0.00 μB per formula unit
Excess energy over the best structure of this formula in the dataset ... 0 meV/atom
SG ... Cmcm
Electronic total energy ... -42.8 eV per cell

Cell lengths 9.681, 9.681, 5.740 Å; angles 90.00, 90.00, 145.26 degrees
Element x y z (fractional)
Sm (0.055, 0.945, 0.750)
Sm (0.249, 0.751, 0.750)
Sm (0.444, 0.556, 0.750)
Sm (0.556, 0.444, 0.250)
Sm (0.751, 0.249, 0.250)
Sm (0.945, 0.055, 0.250)
Ho (0.354, 0.646, 0.250)
Ho (0.646, 0.354, 0.750)
Tl (0.153, 0.847, 0.250)
Tl (0.847, 0.153, 0.750)



First-principles (PBE-GGA) data for a geometry-optimized Sm3Ho2Tl structure, as listed in the Alexandria database.

## Properties
Calculated formation energy ... -109 meV/atom
Spin magnetization ... 0.00 μB per formula unit
Excess energy over the best structure of this formula in the dataset ... 0 meV/atom
SG ... Cmmm
Electronic total energy ... -26.3 eV per cell

Cell lengths 8.008, 8.008, 4.899 Å; angles 90.00, 90.00, 144.07 degrees
Element x y z (fractional)
Sm (0.000, 0.000, 0.000)
Sm (0.330, 0.670, 0.000)
Sm (0.670, 0.330, 0.000)
Ho (0.163, 0.837, 0.500)
Ho (0.837, 0.163, 0.500)
Tl (0.500, 0.500, 0.500)



First-principles (PBE-GGA) data for a geometry-optimized Sm8Ho2Tl structure, as listed in the Alexandria database.

## Properties
Calculated formation energy ... 19 meV/atom
Spin magnetization ... 0.00 μB per formula unit
SG ... C2/m
Electronic total energy ... -49.1 eV per cell

Cell lengths 9.170, 9.170, 8.350 Å; angles 113.67, 113.67, 34.39 degrees
Element x y z (fractional)
Sm (0.020, 0.020, 0.235)
Sm (0.164, 0.164, 0.709)
Sm (0.330, 0.330, 0.592)
Sm (0.394, 0.394, 0.067)
Sm (0.606, 0.606, 0.933)
Sm (0.670, 0.670, 0.408)
Sm (0.836, 0.836, 0.291)
Sm (0.980, 0.980, 0.765)
Ho (0.198, 0.198, 0.149)
Ho (0.802, 0.802, 0.851)
Tl (0.500, 0.500, 0.500)



First-principles (PBE-GGA) data for a geometry-optimized SmHo8Tl2 structure, as listed in the Alexandria database.

## Properties
Calculated formation energy ... 2 meV/atom
Spin magnetization ... 0.00 μB per formula unit
SG ... C2/m
Electronic total energy ... -46.1 eV per cell

Cell lengths 8.751, 8.751, 5.606 Å; angles 101.73, 101.73, 119.41 degrees
Element x y z (fractional)
Sm (0.000, 0.000, 0.000)
Ho (0.095, 0.322, 0.620)
Ho (0.219, 0.781, 0.000)
Ho (0.322, 0.095, 0.620)
Ho (0.405, 0.405, 0.204)
Ho (0.595, 0.595, 0.796)
Ho (0.678, 0.905, 0.380)
Ho (0.781, 0.219, 0.000)
Ho (0.905, 0.678, 0.380)
Tl (0.306, 0.694, 0.500)
Tl (0.694, 0.306, 0.500)



First-principles (PBE-GGA) data for a geometry-optimized SmHo4Tl5 structure, as listed in the Alexandria database.

## Properties
Calculated formation energy ... -338 meV/atom
Spin magnetization ... 0.00 μB per formula unit
SG ... P4/mmm
Electronic total energy ... -38.2 eV per cell

Cell lengths 3.760, 3.760, 19.368 Å; angles 90.00, 90.00, 90.00 degrees
Element x y z (fractional)
Sm (0.000, 0.000, 0.000)
Ho (0.000, 0.000, 0.204)
Ho (0.000, 0.000, 0.401)
Ho (0.000, 0.000, 0.599)
Ho (0.000, 0.000, 0.796)
Tl (0.500, 0.500, 0.105)
Tl (0.500, 0.500, 0.303)
Tl (0.500, 0.500, 0.500)
Tl (0.500, 0.500, 0.697)
Tl (0.500, 0.500, 0.895)



First-principles (PBE-GGA) data for a geometry-optimized Sm2HoTl structure, as listed in the Alexandria database.

## Properties
Calculated formation energy ... -56 meV/atom
Spin magnetization ... 1.35 μB per formula unit
Excess energy over the best structure of this formula in the dataset ... 119 meV/atom
SG ... Fm-3m
Electronic total energy ... -16.6 eV per cell

Cell lengths 5.536, 5.536, 5.536 Å; angles 60.00, 60.00, 60.00 degrees
Element x y z (fractional)
Sm (0.250, 0.250, 0.250)
Sm (0.750, 0.750, 0.750)
Ho (0.000, 0.000, 0.000)
Tl (0.500, 0.500, 0.500)



First-principles (PBE-GGA) data for a geometry-optimized SmHo12Tl6 structure, as listed in the Alexandria database.

## Properties
Calculated formation energy ... 9 meV/atom
Spin magnetization ... 0.00 μB per formula unit
SG ... R-3m
Electronic total energy ... -73.7 eV per cell

Cell lengths 8.871, 8.871, 8.871 Å; angles 103.68, 103.68, 103.68 degrees
Element x y z (fractional)
Sm (0.000, 0.000, 0.000)
Ho (0.129, 0.500, 0.871)
Ho (0.129, 0.871, 0.500)
Ho (0.182, 0.447, 0.447)
Ho (0.447, 0.182, 0.447)
Ho (0.447, 0.447, 0.182)
Ho (0.500, 0.129, 0.871)
Ho (0.500, 0.871, 0.129)
Ho (0.553, 0.553, 0.818)
Ho (0.553, 0.818, 0.553)
Ho (0.818, 0.553, 0.553)
Ho (0.871, 0.129, 0.500)
Ho (0.871, 0.500, 0.129)
Tl (0.238, 0.238, 0.692)
Tl (0.238, 0.692, 0.238)
Tl (0.308, 0.762, 0.762)
Tl (0.692, 0.238, 0.238)
Tl (0.762, 0.308, 0.762)
Tl (0.762, 0.762, 0.308)



First-principles (PBE-GGA) data for a geometry-optimized Sm2HoTl structure, as listed in the Alexandria database.

## Properties
Calculated formation energy ... -175 meV/atom
Spin magnetization ... 0.00 μB per formula unit
Excess energy over the best structure of this formula in the dataset ... 0 meV/atom
SG ... P2_1/m
Electronic total energy ... -34.2 eV per cell

Cell lengths 6.743, 5.407, 6.811 Å; angles 90.00, 100.19, 90.00 degrees
Element x y z (fractional)
Sm (0.088, 0.250, 0.407)
Sm (0.163, 0.250, 0.928)
Sm (0.837, 0.750, 0.072)
Sm (0.912, 0.750, 0.593)
Ho (0.369, 0.750, 0.268)
Ho (0.631, 0.250, 0.732)
Tl (0.389, 0.750, 0.753)
Tl (0.611, 0.250, 0.247)



First-principles (PBE-GGA) data for a geometry-optimized Sm2Ho3Tl structure, as listed in the Alexandria database.

## Properties
Calculated formation energy ... -99 meV/atom
Spin magnetization ... 0.00 μB per formula unit
Excess energy over the best structure of this formula in the dataset ... 0 meV/atom
SG ... Cmmm
Electronic total energy ... -26.1 eV per cell

Cell lengths 7.991, 7.991, 4.906 Å; angles 90.00, 90.00, 144.55 degrees
Element x y z (fractional)
Sm (0.162, 0.838, 0.000)
Sm (0.838, 0.162, 0.000)
Ho (0.000, 0.000, 0.500)
Ho (0.333, 0.667, 0.500)
Ho (0.667, 0.333, 0.500)
Tl (0.500, 0.500, 0.000)



First-principles (PBE-GGA) data for a geometry-optimized Sm2Ho3Tl4 structure, as listed in the Alexandria database.

## Properties
Calculated formation energy ... -226 meV/atom
Spin magnetization ... 0.00 μB per formula unit
Excess energy over the best structure of this formula in the dataset ... 70 meV/atom
SG ... Cmce
Electronic total energy ... -69.3 eV per cell

Cell lengths 8.959, 8.959, 9.156 Å; angles 90.00, 90.00, 132.86 degrees
Element x y z (fractional)
Sm (0.110, 0.890, 0.924)
Sm (0.390, 0.610, 0.424)
Sm (0.610, 0.390, 0.576)
Sm (0.890, 0.110, 0.076)
Ho (0.000, 0.000, 0.500)
Ho (0.036, 0.464, 0.750)
Ho (0.464, 0.036, 0.250)
Ho (0.500, 0.500, 0.000)
Ho (0.536, 0.964, 0.750)
Ho (0.964, 0.536, 0.250)
Tl (0.187, 0.813, 0.542)
Tl (0.222, 0.278, 0.750)
Tl (0.278, 0.222, 0.250)
Tl (0.313, 0.687, 0.042)
Tl (0.687, 0.313, 0.958)
Tl (0.722, 0.778, 0.750)
Tl (0.778, 0.722, 0.250)
Tl (0.813, 0.187, 0.458)



First-principles (PBE-GGA) data for a geometry-optimized SmHo7Tl4 structure, as listed in the Alexandria database.

## Properties
Calculated formation energy ... -150 meV/atom
Spin magnetization ... 0.01 μB per formula unit
SG ... P-1
Electronic total energy ... -48.0 eV per cell

Cell lengths 6.339, 6.719, 8.524 Å; angles 103.68, 90.84, 98.39 degrees
Element x y z (fractional)
Sm (0.000, 0.000, 0.000)
Ho (0.147, 0.806, 0.418)
Ho (0.260, 0.509, 0.060)
Ho (0.347, 0.298, 0.376)
Ho (0.500, 0.000, 0.000)
Ho (0.653, 0.702, 0.624)
Ho (0.740, 0.491, 0.940)
Ho (0.853, 0.194, 0.582)
Tl (0.167, 0.632, 0.729)
Tl (0.351, 0.188, 0.714)
Tl (0.649, 0.812, 0.286)
Tl (0.833, 0.368, 0.271)



First-principles (PBE-GGA) data for a geometry-optimized SmHo2Tl4 structure, as listed in the Alexandria database.

## Properties
Calculated formation energy ... -101 meV/atom
Spin magnetization ... 0.00 μB per formula unit
Excess energy over the best structure of this formula in the dataset ... 119 meV/atom
SG ... R-3m
Electronic total energy ... -24.0 eV per cell

Cell lengths 10.538, 10.538, 10.538 Å; angles 26.81, 26.81, 26.81 degrees
Element x y z (fractional)
Sm (0.000, 0.000, 0.000)
Ho (0.130, 0.130, 0.130)
Ho (0.870, 0.870, 0.870)
Tl (0.242, 0.242, 0.242)
Tl (0.384, 0.384, 0.384)
Tl (0.616, 0.616, 0.616)
Tl (0.758, 0.758, 0.758)



First-principles (PBE-GGA) data for a geometry-optimized SmHo4Tl structure, as listed in the Alexandria database.

## Properties
Calculated formation energy ... -16 meV/atom
Spin magnetization ... 0.00 μB per formula unit
Excess energy over the best structure of this formula in the dataset ... 88 meV/atom
SG ... C2/c
Electronic total energy ... -51.0 eV per cell

Cell lengths 8.260, 8.260, 6.435 Å; angles 99.67, 99.67, 116.76 degrees
Element x y z (fractional)
Sm (0.089, 0.911, 0.750)
Sm (0.911, 0.089, 0.250)
Ho (0.088, 0.342, 0.881)
Ho (0.214, 0.594, 0.459)
Ho (0.342, 0.088, 0.381)
Ho (0.406, 0.786, 0.041)
Ho (0.594, 0.214, 0.959)
Ho (0.658, 0.912, 0.619)
Ho (0.786, 0.406, 0.541)
Ho (0.912, 0.658, 0.119)
Tl (0.500, 0.500, 0.250)
Tl (0.500, 0.500, 0.750)



First-principles (PBE-GGA) data for a geometry-optimized Sm5Ho3Tl structure, as listed in the Alexandria database.

## Properties
Calculated formation energy ... 405 meV/atom
Spin magnetization ... 0.25 μB per formula unit
SG ... C2/m
Electronic total energy ... -72.1 eV per cell

Cell lengths 7.949, 7.949, 11.331 Å; angles 95.31, 95.31, 60.55 degrees
Element x y z (fractional)
Sm (0.007, 0.007, 0.369)
Sm (0.161, 0.585, 0.245)
Sm (0.168, 0.832, 0.000)
Sm (0.262, 0.262, 0.963)
Sm (0.415, 0.839, 0.755)
Sm (0.585, 0.161, 0.245)
Sm (0.738, 0.738, 0.037)
Sm (0.832, 0.168, 0.000)
Sm (0.839, 0.415, 0.755)
Sm (0.993, 0.993, 0.631)
Ho (0.168, 0.168, 0.216)
Ho (0.241, 0.241, 0.525)
Ho (0.500, 0.500, 0.000)
Ho (0.500, 0.500, 0.500)
Ho (0.759, 0.759, 0.475)
Ho (0.832, 0.832, 0.784)
Tl (0.403, 0.403, 0.740)
Tl (0.597, 0.597, 0.260)



First-principles (PBE-GGA) data for a geometry-optimized Sm2HoTl structure, as listed in the Alexandria database.

## Properties
Calculated formation energy ... -98 meV/atom
Spin magnetization ... 0.00 μB per formula unit
Excess energy over the best structure of this formula in the dataset ... 77 meV/atom
SG ... P4/mmm
Electronic total energy ... -16.8 eV per cell

Cell lengths 5.577, 5.577, 3.891 Å; angles 90.00, 90.00, 90.00 degrees
Element x y z (fractional)
Sm (0.000, 0.500, 0.000)
Sm (0.500, 0.000, 0.000)
Ho (0.000, 0.000, 0.500)
Tl (0.500, 0.500, 0.500)